Record 1
# SCAN SbPSe2, PBEsol geometry
data_SbPSe2
_space_group_name_H-M_alt 'F m -3 m'
_space_group_IT_number 225
_space_group_name_Hall '-F 4 2 3'
_cell_length_a 6.8193
_cell_length_b 6.8193
_cell_length_c 6.8193
_cell_angle_alpha 90.00
_cell_angle_beta 90.00
_cell_angle_gamma 90.00
loop_
_atom_site_label
_atom_site_type_symbol
_atom_site_fract_x
_atom_site_fract_y
_atom_site_fract_z
Sb1 Sb 0.0000 0.0000 0.0000
P1 P 0.0000 0.0000 0.5000
Se1 Se 0.2500 0.2500 0.2500
# * final energy: -21.38 eV per atom
# * distance to the lowest polymorph of the same formula: 67.8 meV per atom
# * formation energy from raw total energies: 0.572 eV/atom
# * M_tot: 0.00 μB/atom

---

Record 2
# SCAN SbP2Se, PBEsol geometry
data_SbP2Se
_space_group_name_H-M_alt 'C 1 2/m 1'
_space_group_IT_number 12
_cell_length_a 11.6821
_cell_length_b 3.4502
_cell_length_c 4.4090
_cell_angle_alpha 90.00
_cell_angle_beta 98.77
_cell_angle_gamma 90.00
loop_
_space_group_symop_operation_xyz
'x,y,z'
'-x,-y,-z'
'-x,y,-z'
'x,-y,z'
'x+1/2,y+1/2,z'
'-x+1/2,-y+1/2,-z'
'-x+1/2,y+1/2,-z'
'x+1/2,-y+1/2,z'
loop_
_atom_site_label
_atom_site_type_symbol
_atom_site_fract_x
_atom_site_fract_y
_atom_site_fract_z
Sb1 Sb 0.0000 0.0000 0.0000
P1 P 0.2364 0.0000 0.1553
Se1 Se 0.0000 0.5000 0.5000
# * final energy: -19.38 eV per atom
# * distance to the lowest polymorph of the same formula: 0.0 meV per atom
# * formation energy from raw total energies: 0.153 eV/atom
# * M_tot: 0.00 μB/atom

---

Record 3
# SCAN Sb2PSe, PBEsol geometry
data_Sb2PSe
_space_group_name_H-M_alt 'F m -3 m'
_space_group_IT_number 225
_space_group_name_Hall '-F 4 2 3'
_cell_length_a 6.9699
_cell_length_b 6.9699
_cell_length_c 6.9699
_cell_angle_alpha 90.00
_cell_angle_beta 90.00
_cell_angle_gamma 90.00
loop_
_atom_site_label
_atom_site_type_symbol
_atom_site_fract_x
_atom_site_fract_y
_atom_site_fract_z
Sb1 Sb 0.2500 0.2500 0.2500
P1 P 0.0000 0.0000 0.0000
Se1 Se 0.0000 0.0000 0.5000
# * final energy: -25.84 eV per atom
# * distance to the lowest polymorph of the same formula: 344.3 meV per atom
# * formation energy from raw total energies: 0.413 eV/atom
# * M_tot: 0.00 μB/atom

---

Record 4
# SCAN Sb2PSe, PBEsol geometry
data_Sb2PSe
_space_group_name_H-M_alt 'C 1 2/m 1'
_space_group_IT_number 12
_cell_length_a 6.6219
_cell_length_b 4.2000
_cell_length_c 7.2121
_cell_angle_alpha 90.00
_cell_angle_beta 111.43
_cell_angle_gamma 90.00
loop_
_space_group_symop_operation_xyz
'x,y,z'
'-x,-y,-z'
'-x,y,-z'
'x,-y,z'
'x+1/2,y+1/2,z'
'-x+1/2,-y+1/2,-z'
'-x+1/2,y+1/2,-z'
'x+1/2,-y+1/2,z'
loop_
_atom_site_label
_atom_site_type_symbol
_atom_site_fract_x
_atom_site_fract_y
_atom_site_fract_z
Sb1 Sb 0.2416 0.0000 0.2289
P1 P 0.0000 0.5000 0.0000
Se1 Se 0.0000 0.0000 0.5000
# * final energy: -26.18 eV per atom
# * distance to the lowest polymorph of the same formula: 0.0 meV per atom
# * formation energy from raw total energies: 0.069 eV/atom
# * M_tot: 0.00 μB/atom

---

Record 5
# SCAN SbPSe2, PBEsol geometry
data_SbPSe2
_space_group_name_H-M_alt 'I -4 m 2'
_space_group_IT_number 119
_space_group_name_Hall 'I -4 -2'
_cell_length_a 3.7919
_cell_length_b 3.7919
_cell_length_c 12.6285
_cell_angle_alpha 90.00
_cell_angle_beta 90.00
_cell_angle_gamma 90.00
loop_
_atom_site_label
_atom_site_type_symbol
_atom_site_fract_x
_atom_site_fract_y
_atom_site_fract_z
Sb1 Sb 0.0000 0.0000 0.0000
P1 P 0.0000 0.5000 0.7500
Se1 Se 0.0000 0.0000 0.5000
Se2 Se 0.0000 0.5000 0.2500
# * final energy: -21.45 eV per atom
# * distance to the lowest polymorph of the same formula: 0.0 meV per atom
# * formation energy from raw total energies: 0.504 eV/atom
# * M_tot: 0.00 μB/atom

---

Record 6
# SCAN SbP2Se, PBEsol geometry
data_SbP2Se
_space_group_name_H-M_alt 'I m m m'
_space_group_IT_number 71
_space_group_name_Hall '-I 2 2'
_cell_length_a 3.6506
_cell_length_b 5.0218
_cell_length_c 8.2270
_cell_angle_alpha 90.00
_cell_angle_beta 90.00
_cell_angle_gamma 90.00
loop_
_atom_site_label
_atom_site_type_symbol
_atom_site_fract_x
_atom_site_fract_y
_atom_site_fract_z
Sb1 Sb 0.0000 0.0000 0.0000
P1 P 0.0000 0.5000 0.2209
Se1 Se 0.0000 0.0000 0.5000
# * final energy: -18.81 eV per atom
# * distance to the lowest polymorph of the same formula: 571.4 meV per atom
# * formation energy from raw total energies: 0.725 eV/atom
# * M_tot: 0.00 μB/atom

---

Record 7
# SCAN Sb3PSe, PBEsol geometry
data_Sb3PSe
_space_group_name_H-M_alt 'P m -3 m'
_space_group_IT_number 221
_space_group_name_Hall '-P 4 2 3'
_cell_length_a 5.2585
_cell_length_b 5.2585
_cell_length_c 5.2585
_cell_angle_alpha 90.00
_cell_angle_beta 90.00
_cell_angle_gamma 90.00
loop_
_atom_site_label
_atom_site_type_symbol
_atom_site_fract_x
_atom_site_fract_y
_atom_site_fract_z
Sb1 Sb 0.0000 0.0000 0.5000
P1 P 0.5000 0.5000 0.5000
Se1 Se 0.0000 0.0000 0.0000
# * final energy: -27.27 eV per atom
# * formation energy from raw total energies: 1.186 eV/atom
# * M_tot: 0.00 μB/atom

---

Record 8
# SCAN Sb2PSe, PBEsol geometry
data_Sb2PSe
_space_group_name_H-M_alt 'C m m m'
_space_group_IT_number 65
_space_group_name_Hall '-C 2 2'
_cell_length_a 5.8941
_cell_length_b 8.0980
_cell_length_c 3.9894
_cell_angle_alpha 90.00
_cell_angle_beta 90.00
_cell_angle_gamma 90.00
loop_
_atom_site_label
_atom_site_type_symbol
_atom_site_fract_x
_atom_site_fract_y
_atom_site_fract_z
Sb1 Sb 0.0000 0.2331 0.0000
P1 P 0.0000 0.0000 0.5000
Se1 Se 0.0000 0.5000 0.5000
# * final energy: -26.09 eV per atom
# * distance to the lowest polymorph of the same formula: 90.9 meV per atom
# * formation energy from raw total energies: 0.160 eV/atom
# * M_tot: 0.00 μB/atom

---

Record 9
# SCAN Sb2P3Se9, PBEsol geometry
data_Sb2P3Se9
_space_group_name_H-M_alt 'P 1 21/c 1'
_space_group_IT_number 14
_cell_length_a 9.3097
_cell_length_b 7.4143
_cell_length_c 22.6632
_cell_angle_alpha 90.00
_cell_angle_beta 113.20
_cell_angle_gamma 90.00
loop_
_space_group_symop_operation_xyz
'x,y,z'
'-x,-y,-z'
'-x,y+1/2,-z+1/2'
'x,-y+1/2,z+1/2'
loop_
_atom_site_label
_atom_site_type_symbol
_atom_site_fract_x
_atom_site_fract_y
_atom_site_fract_z
Sb1 Sb 0.0638 0.0755 0.3379
Sb2 Sb 0.3858 0.1998 0.6484
P1 P 0.0720 0.0554 0.1457
P2 P 0.2501 0.6626 0.6876
P3 P 0.4260 0.5571 0.9518
Se1 Se 0.1253 0.1447 0.0628
Se2 Se 0.1537 0.2375 0.7211
Se3 Se 0.1574 0.6331 0.1090
Se4 Se 0.1586 0.0702 0.8781
Se5 Se 0.1920 0.5973 0.9540
Se6 Se 0.2260 0.7313 0.2735
Se7 Se 0.4292 0.1365 0.3798
Se8 Se 0.4602 0.1830 0.0507
Se9 Se 0.4813 0.5401 0.7043
# * final energy: -20.62 eV per atom
# * formation energy from raw total energies: -0.159 eV/atom
# * M_tot: 0.00 μB/atom

---

Record 10
# SCAN SbPSe3, PBEsol geometry
data_SbPSe3
_space_group_name_H-M_alt 'P n m a'
_space_group_IT_number 62
_cell_length_a 9.1573
_cell_length_b 3.7671
_cell_length_c 13.5584
_cell_angle_alpha 90.00
_cell_angle_beta 90.00
_cell_angle_gamma 90.00
loop_
_space_group_symop_operation_xyz
'x,y,z'
'-x,-y,-z'
'-x+1/2,-y,z+1/2'
'x+1/2,y,-z+1/2'
'x+1/2,-y+1/2,-z+1/2'
'-x+1/2,y+1/2,z+1/2'
'-x,y+1/2,-z'
'x,-y+1/2,z'
loop_
_atom_site_label
_atom_site_type_symbol
_atom_site_fract_x
_atom_site_fract_y
_atom_site_fract_z
Sb1 Sb 0.0265 0.2500 0.1396
P1 P 0.1448 0.2500 0.5540
Se1 Se 0.0071 0.2500 0.3841
Se2 Se 0.1769 0.2500 0.9722
Se3 Se 0.2139 0.7500 0.2123
# * final energy: -21.62 eV per atom
# * formation energy from raw total energies: -0.045 eV/atom
# * M_tot: 0.00 μB/atom

---

Record 11
# SCAN Sb2PSe, PBEsol geometry
data_Sb2PSe
_space_group_name_H-M_alt 'P 1 m 1'
_space_group_IT_number 6
_cell_length_a 4.4445
_cell_length_b 3.7768
_cell_length_c 5.9664
_cell_angle_alpha 90.00
_cell_angle_beta 104.41
_cell_angle_gamma 90.00
loop_
_space_group_symop_operation_xyz
'x,y,z'
'x,-y,z'
loop_
_atom_site_label
_atom_site_type_symbol
_atom_site_fract_x
_atom_site_fract_y
_atom_site_fract_z
Sb1 Sb 0.0000 0.0000 0.0000
Sb2 Sb 0.4616 0.5000 0.4909
P1 P 0.5843 0.5000 0.9382
Se1 Se 0.9654 0.0000 0.5033
# * final energy: -26.18 eV per atom
# * distance to the lowest polymorph of the same formula: 3.9 meV per atom
# * formation energy from raw total energies: 0.073 eV/atom
# * M_tot: 0.00 μB/atom

---

Record 12
# SCAN SiSbP2, PBEsol geometry
data_SiSbP2
_space_group_name_H-M_alt 'P m m m'
_space_group_IT_number 47
_cell_length_a 3.3243
_cell_length_b 4.5308
_cell_length_c 4.6115
_cell_angle_alpha 90.00
_cell_angle_beta 90.00
_cell_angle_gamma 90.00
loop_
_space_group_symop_operation_xyz
'x,y,z'
'-x,-y,-z'
'-x,-y,z'
'x,y,-z'
'x,-y,-z'
'-x,y,z'
'-x,y,-z'
'x,-y,z'
loop_
_atom_site_label
_atom_site_type_symbol
_atom_site_fract_x
_atom_site_fract_y
_atom_site_fract_z
Si1 Si 0.0000 0.0000 0.0000
Sb1 Sb 0.5000 0.0000 0.5000
P1 P 0.0000 0.5000 0.5000
P2 P 0.5000 0.5000 0.0000
# * final energy: -16.18 eV per atom
# * distance to the lowest polymorph of the same formula: 616.4 meV per atom
# * formation energy from raw total energies: 0.840 eV/atom
# * M_tot: 0.00 μB/atom

---

Which of these has the highest final energy? SiSbP2

---

Among the records above, which one has the highest final energy? SiSbP2

---

Which value of final energy does entry 8 give? -26.09 eV per atom